[1]
Pr2Nd3Ir2: optimized geometry, PBE-GGA.

a = 3.958 Å, b = 6.580 Å, c = 9.239 Å
α = 114.70°, β = 90.00°, γ = 107.50°
Fractional coordinates of all 7 atoms:
Pr1 0.831 0.661 0.191
Pr2 0.169 0.339 0.809
Nd1 0.500 0.000 0.000
Nd2 0.618 0.236 0.428
Nd3 0.382 0.764 0.572
Ir1 0.822 0.644 0.758
Ir2 0.178 0.356 0.242

Summary:
For the energy relative to the elements, the calculation gives -46 kJ/mol of atoms. The density of states at the Fermi level is 1.08 states/eV/atom. The total moment is 0.00 μB per atom. The volume is 29.467 A^3/atom.

=====

[2]
PrNdIr: optimized geometry, PBE-GGA.

a = 4.976 Å, b = 4.976 Å, c = 4.976 Å
α = 60.00°, β = 60.00°, γ = 60.00°
Fractional coordinates of all 3 atoms:
Pr1 0.500 0.500 0.500
Ir1 0.250 0.250 0.250
Nd1 0.000 0.000 0.000

Summary:
For the energy relative to the elements, the calculation gives -49 kJ/mol of atoms. The calculation puts the excess energy over the best structure of this formula in the dataset at 0 kJ/mol of formula units. The density of states at the Fermi level is 0.84 states/eV/atom. The total moment is 0.00 μB per atom. The volume is 29.035 A^3/atom.

=====

[3]
PrNdIr2: optimized geometry, PBE-GGA.

a = 4.122 Å, b = 4.239 Å, c = 5.842 Å
α = 90.00°, β = 110.65°, γ = 90.00°
Fractional coordinates of all 4 atoms:
Pr1 0.437 0.500 0.412
Nd1 0.728 0.000 0.995
Ir1 0.159 0.500 0.856
Ir2 0.008 0.000 0.555

Summary:
For the energy relative to the elements, the calculation gives -58 kJ/mol of atoms. The calculation puts the excess energy over the best structure of this formula in the dataset at 0 kJ/mol of formula units. The density of states at the Fermi level is 0.61 states/eV/atom. The total moment is 0.00 μB per atom. The volume is 23.883 A^3/atom.